1.
# Ac6Co2PtBr3 GGA-PBE optimized geometry
data_Ac6Co2PtBr3
_cell_length_a 7.4574
_cell_length_b 7.4574
_cell_length_c 8.6053
_cell_angle_alpha 98.26
_cell_angle_beta 98.26
_cell_angle_gamma 120.03
_space_group_name_H-M_alt 'P 1'
_space_group_IT_number 1
loop_
_space_group_symop_operation_xyz
'x,y,z'
loop_
_atom_site_label
_atom_site_type_symbol
_atom_site_fract_x
_atom_site_fract_y
_atom_site_fract_z
Ac1 Ac 0.0897 0.4361 0.8079
Ac2 Ac 0.2170 0.2170 0.1919
Ac3 Ac 0.4361 0.0897 0.8079
Ac4 Ac 0.5639 0.9103 0.1921
Ac5 Ac 0.7830 0.7830 0.8081
Ac6 Ac 0.9103 0.5639 0.1921
Co1 Co 0.1665 0.8335 0.0000
Co2 Co 0.8335 0.1665 0.0000
Pt1 Pt 0.5000 0.5000 0.0000
Br1 Br 0.0000 0.0000 0.5000
Br2 Br 0.3310 0.6690 0.5000
Br3 Br 0.6690 0.3310 0.5000
# symmetry: C2/m, No. 12
# energy relative to the elements, uncorrected: -0.959 eV per atom

---

2.
# RbAcCoBr6 GGA-PBE optimized geometry
data_RbAcCoBr6
_cell_length_a 7.3976
_cell_length_b 7.3976
_cell_length_c 15.1969
_cell_angle_alpha 90.00
_cell_angle_beta 90.00
_cell_angle_gamma 120.00
_space_group_name_H-M_alt 'P 1'
_space_group_IT_number 1
loop_
_space_group_symop_operation_xyz
'x,y,z'
loop_
_atom_site_label
_atom_site_type_symbol
_atom_site_fract_x
_atom_site_fract_y
_atom_site_fract_z
Rb1 Rb 0.0000 0.0000 0.0000
Rb2 Rb 0.0000 0.0000 0.5000
Ac1 Ac 0.3333 0.6667 0.2500
Ac2 Ac 0.6667 0.3333 0.7500
Co1 Co 0.3333 0.6667 0.7500
Co2 Co 0.6667 0.3333 0.2500
Br1 Br 0.0432 0.3884 0.6462
Br2 Br 0.0432 0.6549 0.8538
Br3 Br 0.3451 0.3884 0.8538
Br4 Br 0.3451 0.9568 0.6462
Br5 Br 0.3884 0.0432 0.1462
Br6 Br 0.3884 0.3451 0.3538
Br7 Br 0.6116 0.6549 0.6462
Br8 Br 0.6116 0.9568 0.8538
Br9 Br 0.6549 0.0432 0.3538
Br10 Br 0.6549 0.6116 0.1462
Br11 Br 0.9568 0.3451 0.1462
Br12 Br 0.9568 0.6116 0.3538
# symmetry: P-31c, No. 163
# energy relative to the elements, uncorrected: -1.338 eV per atom

---

3.
# Ac4CoRhBr2 GGA-PBE optimized geometry
data_Ac4CoRhBr2
_cell_length_a 7.4210
_cell_length_b 4.2752
_cell_length_c 8.6402
_cell_angle_alpha 90.00
_cell_angle_beta 106.35
_cell_angle_gamma 90.00
_space_group_name_H-M_alt 'P 1'
_space_group_IT_number 1
loop_
_space_group_symop_operation_xyz
'x,y,z'
loop_
_atom_site_label
_atom_site_type_symbol
_atom_site_fract_x
_atom_site_fract_y
_atom_site_fract_z
Ac1 Ac 0.2237 0.0000 0.1915
Ac2 Ac 0.2633 0.5000 0.8057
Ac3 Ac 0.7367 0.5000 0.1943
Ac4 Ac 0.7763 0.0000 0.8085
Co1 Co 0.0000 0.5000 0.0000
Rh1 Rh 0.5000 0.0000 0.0000
Br1 Br 0.0000 0.0000 0.5000
Br2 Br 0.5000 0.5000 0.5000
# symmetry: P2/m, No. 10
# energy relative to the elements, uncorrected: -0.959 eV per atom

---

4.
# Ac8Co3RhBr4 GGA-PBE optimized geometry
data_Ac8Co3RhBr4
_cell_length_a 8.5019
_cell_length_b 8.5019
_cell_length_c 9.6416
_cell_angle_alpha 116.18
_cell_angle_beta 116.18
_cell_angle_gamma 59.99
_space_group_name_H-M_alt 'P 1'
_space_group_IT_number 1
loop_
_space_group_symop_operation_xyz
'x,y,z'
loop_
_atom_site_label
_atom_site_type_symbol
_atom_site_fract_x
_atom_site_fract_y
_atom_site_fract_z
Ac1 Ac 0.2254 0.7349 0.6927
Ac2 Ac 0.2304 0.2304 0.6900
Ac3 Ac 0.2651 0.7746 0.3073
Ac4 Ac 0.2660 0.2660 0.3084
Ac5 Ac 0.7340 0.7340 0.6916
Ac6 Ac 0.7349 0.2254 0.6927
Ac7 Ac 0.7696 0.7696 0.3100
Ac8 Ac 0.7746 0.2651 0.3073
Co1 Co 0.0000 0.0000 0.5000
Co2 Co 0.0000 0.5000 0.5000
Co3 Co 0.5000 0.0000 0.5000
Rh1 Rh 0.5000 0.5000 0.5000
Br1 Br 0.0000 0.0000 0.0000
Br2 Br 0.0000 0.5000 0.0000
Br3 Br 0.5000 0.0000 0.0000
Br4 Br 0.5000 0.5000 0.0000
# symmetry: C2/m, No. 12
# energy relative to the elements, uncorrected: -0.884 eV per atom